First-principles (GGA-PBE) data for a geometry-optimized Ni2BPCl structure, as listed in Alexandria.

Lattice parameters (Å, degrees): 4.260 3.602 4.260 90.00 90.00 90.00
Last column: magnetic moment on the atom in μB.
Element x y z (fractional)
Ni 0.000 0.000 0.500  0.28
Ni 0.500 0.000 0.000  0.47
B 0.000 0.000 0.000  0.01
P 0.000 0.500 0.000  0.04
Cl 0.500 0.500 0.500  0.10

SG: P4/mmm (123)
Uncorrected energy (eV per atom): -4.557

=====

First-principles (GGA-PBE) data for a geometry-optimized NiBPtCl2 structure, as listed in Alexandria.

Lattice parameters (Å, degrees): 4.785 4.846 4.785 90.00 90.00 90.00
Last column: magnetic moment on the atom in μB.
Element x y z (fractional)
Ni 0.000 0.500 0.000  0.77
B 0.500 0.500 0.500  -0.11
Pt 0.000 0.000 0.000  0.12
Cl 0.000 0.000 0.500  -0.01
Cl 0.500 0.000 0.000  -0.01

SG: P4/mmm (123)
Uncorrected energy (eV per atom): -3.137

=====

First-principles (GGA-PBE) data for a geometry-optimized Rb2NiBCl6 structure, as listed in Alexandria.

Lattice parameters (Å, degrees): 6.798 6.798 7.265 62.10 62.10 90.00
Last column: magnetic moment on the atom in μB.
Element x y z (fractional)
Ni 0.000 0.000 0.000  0.92
B 0.500 0.500 0.000  -0.02
Rb 0.750 0.250 0.500  0.00
Rb 0.250 0.750 0.500  0.00
Cl 0.202 0.202 0.595  0.01
Cl 0.798 0.798 0.405  0.01
Cl 0.290 0.290 0.000  0.01
Cl 0.710 0.710 0.000  0.01
Cl 0.710 0.290 0.000  0.01
Cl 0.290 0.710 0.000  0.01

SG: I4/mmm (139)
Uncorrected energy (eV per atom): -3.423

=====

First-principles (GGA-PBE) data for a geometry-optimized TiNiB2Cl structure, as listed in Alexandria.

Lattice parameters (Å, degrees): 4.057 4.003 4.057 90.00 90.00 90.00
Element x y z (fractional)
Ni 0.000 0.500 0.000
B 0.000 0.000 0.500
B 0.500 0.000 0.000
Cl 0.000 0.000 0.000
Ti 0.500 0.500 0.500

SG: P4/mmm (123)
Uncorrected energy (eV per atom): -4.153

=====

First-principles (GGA-PBE) data for a geometry-optimized Zr2NiBCl structure, as listed in Alexandria.

Lattice parameters (Å, degrees): 4.909 4.004 4.909 90.00 90.00 90.00
Element x y z (fractional)
Ni 0.000 0.000 0.000
B 0.500 0.500 0.500
Zr 0.000 0.000 0.500
Zr 0.500 0.000 0.000
Cl 0.000 0.500 0.000

SG: P4/mmm (123)
Uncorrected energy (eV per atom): -5.362

=====

First-principles (GGA-PBE) data for a geometry-optimized NpBCl structure, as listed in Alexandria.

Lattice parameters (Å, degrees): 3.322 3.322 11.314 98.44 98.44 90.00
Last column: magnetic moment on the atom in μB.
Element x y z (fractional)
B 0.282 0.282 0.563  0.03
B 0.718 0.718 0.437  0.03
Np 0.175 0.175 0.349  3.36
Np 0.825 0.825 0.651  3.36
Cl 0.590 0.590 0.181  -0.02
Cl 0.410 0.410 0.819  -0.02

SG: I4/mmm (139)
Uncorrected energy (eV per atom): -7.271

=====

| no. | M_tot (μB/f.u.) |
| --- | --- |
| 1 | 0.9 |
| 2 | 0.6 |
| 3 | 1.0 |
| 4 | 0.0 |
| 5 | 0.0 |
| 6 | 3.6 |